First-principles (GGA-PBE) data for a geometry-optimized LiPaNi10 structure, as listed in the Alexandria database.

Computed properties:
Total moment in μB per formula unit: 2.615
SG: Pmmm
Raw total energy in eV/f.u.: -70.99
Energy of formation from the pure elements in eV per atom: -0.147
Density of states at the Fermi level in states/eV per atom: 1.0396

extended XYZ file:
```
12
Lattice="3.997 0.000 0.000 0.000 4.797 0.000 0.000 0.000 8.194" Properties=species:S:1:pos:R:3 pbc="T T T"
Ni 0.000 2.398 1.414
Li 0.000 2.398 4.097
Ni 0.000 0.000 2.744
Ni 1.998 3.609 2.042
Ni 0.000 2.398 6.779
Ni 1.998 1.187 6.151
Pa 0.000 0.000 0.000
Ni 1.998 2.398 0.000
Ni 0.000 0.000 5.450
Ni 1.998 3.609 6.151
Ni 1.998 0.000 4.097
Ni 1.998 1.187 2.042
```